Rb2LaTlSe4: relaxed, PBE-GGA.

Structure (CIF):
```
data_Rb2LaTlSe4
_symmetry_space_group_name_H-M 'C 1 2/c 1'
_symmetry_Int_Tables_number 15
_cell_length_a 12.538
_cell_length_b 13.168
_cell_length_c 8.963
_cell_angle_alpha 90.00
_cell_angle_beta 133.36
_cell_angle_gamma 90.00
loop_
_symmetry_equiv_pos_as_xyz
'x,y,z'
'-x,-y,-z'
'-x,y,-z+1/2'
'x,-y,z+1/2'
'x+1/2,y+1/2,z'
'-x+1/2,-y+1/2,-z'
'-x+1/2,y+1/2,-z+1/2'
'x+1/2,-y+1/2,z+1/2'
loop_
_atom_site_label
_atom_site_type_symbol
_atom_site_fract_x
_atom_site_fract_y
_atom_site_fract_z
Rb1 Rb 0.000 0.000 0.000
Rb2 Rb 0.250 0.250 0.000
La1 La 0.250 0.250 0.500
Tl1 Tl 0.000 0.500 0.000
Se1 Se 0.005 0.258 0.036
Se2 Se 0.209 0.488 0.481
```

***

Rb4La3TlSe8: relaxed, PBE-GGA.

Structure (CIF):
```
data_Rb4La3TlSe8
_symmetry_space_group_name_H-M 'C 1 2/m 1'
_symmetry_Int_Tables_number 12
_cell_length_a 15.348
_cell_length_b 8.848
_cell_length_c 9.538
_cell_angle_alpha 90.00
_cell_angle_beta 122.42
_cell_angle_gamma 90.00
loop_
_symmetry_equiv_pos_as_xyz
'x,y,z'
'-x,-y,-z'
'-x,y,-z'
'x,-y,z'
'x+1/2,y+1/2,z'
'-x+1/2,-y+1/2,-z'
'-x+1/2,y+1/2,-z'
'x+1/2,-y+1/2,z'
loop_
_atom_site_label
_atom_site_type_symbol
_atom_site_fract_x
_atom_site_fract_y
_atom_site_fract_z
Rb1 Rb 0.000 0.000 0.000
Rb2 Rb 0.000 0.500 0.000
Rb3 Rb 0.250 0.250 0.000
La1 La 0.000 0.000 0.500
La2 La 0.250 0.250 0.500
Tl1 Tl 0.000 0.500 0.500
Se1 Se 0.015 0.253 0.298
Se2 Se 0.233 0.500 0.703
Se3 Se 0.234 0.000 0.702
```

***

Rb2LaTmSe4: relaxed, PBE-GGA.

Structure (CIF):
```
data_Rb2LaTmSe4
_symmetry_space_group_name_H-M 'P 1 2/m 1'
_symmetry_Int_Tables_number 10
_cell_length_a 7.506
_cell_length_b 4.330
_cell_length_c 8.381
_cell_angle_alpha 90.00
_cell_angle_beta 107.32
_cell_angle_gamma 90.00
loop_
_symmetry_equiv_pos_as_xyz
'x,y,z'
'-x,-y,-z'
'-x,y,-z'
'x,-y,z'
loop_
_atom_site_label
_atom_site_type_symbol
_atom_site_fract_x
_atom_site_fract_y
_atom_site_fract_z
Rb1 Rb 0.000 0.000 0.000
Rb2 Rb 0.500 0.500 0.000
La1 La 0.000 0.500 0.500
Tm1 Tm 0.500 0.000 0.500
Se1 Se 0.247 0.000 0.700
Se2 Se 0.281 0.500 0.305
```

***

Rb3La3TmSe8: relaxed, PBE-GGA.

Structure (CIF):
```
data_Rb3La3TmSe8
_symmetry_space_group_name_H-M 'C 1 2/m 1'
_symmetry_Int_Tables_number 12
_cell_length_a 15.209
_cell_length_b 8.772
_cell_length_c 9.560
_cell_angle_alpha 90.00
_cell_angle_beta 122.08
_cell_angle_gamma 90.00
loop_
_symmetry_equiv_pos_as_xyz
'x,y,z'
'-x,-y,-z'
'-x,y,-z'
'x,-y,z'
'x+1/2,y+1/2,z'
'-x+1/2,-y+1/2,-z'
'-x+1/2,y+1/2,-z'
'x+1/2,-y+1/2,z'
loop_
_atom_site_label
_atom_site_type_symbol
_atom_site_fract_x
_atom_site_fract_y
_atom_site_fract_z
Rb1 Rb 0.000 0.000 0.000
Rb2 Rb 0.250 0.250 0.000
La1 La 0.000 0.500 0.500
La2 La 0.250 0.250 0.500
Tm1 Tm 0.000 0.000 0.500
Se1 Se 0.015 0.238 0.309
Se2 Se 0.223 0.000 0.691
Se3 Se 0.234 0.500 0.703
```

***

Rb4La3USe8: relaxed, PBE-GGA.

Structure (CIF):
```
data_Rb4La3USe8
_symmetry_space_group_name_H-M 'R -3 m'
_symmetry_Int_Tables_number 166
_symmetry_space_group_name_Hall '-R 3 2"'
_cell_length_a 8.8760
_cell_length_b 8.8760
_cell_length_c 23.9870
_cell_angle_alpha 90.00
_cell_angle_beta 90.00
_cell_angle_gamma 120.00
loop_
_atom_site_label
_atom_site_type_symbol
_atom_site_fract_x
_atom_site_fract_y
_atom_site_fract_z
Rb1 Rb 0.0000 0.0000 0.0000
Rb2 Rb 0.0000 0.5000 0.0000
La1 La 0.0000 0.5000 0.5000
U1 U 0.0000 0.0000 0.5000
Se1 Se 0.0000 0.0000 0.2344
Se2 Se 0.0081 0.5040 0.2332
```

***

Rb3LaU3Se8: relaxed, PBE-GGA.

Structure (CIF):
```
data_Rb3LaU3Se8
_symmetry_space_group_name_H-M 'R -3 m'
_symmetry_Int_Tables_number 166
_symmetry_space_group_name_Hall '-R 3 2"'
_cell_length_a 8.5415
_cell_length_b 8.5415
_cell_length_c 24.3460
_cell_angle_alpha 90.00
_cell_angle_beta 90.00
_cell_angle_gamma 120.00
loop_
_atom_site_label
_atom_site_type_symbol
_atom_site_fract_x
_atom_site_fract_y
_atom_site_fract_z
Rb1 Rb 0.0000 0.5000 0.0000
La1 La 0.0000 0.0000 0.5000
U1 U 0.0000 0.5000 0.5000
Se1 Se 0.0000 0.0000 0.2317
Se2 Se 0.0126 0.5063 0.7680
```

***

Rb2La2USe6: relaxed, PBE-GGA.

Structure (CIF):
```
data_Rb2La2USe6
_symmetry_space_group_name_H-M 'C 1 2/m 1'
_symmetry_Int_Tables_number 12
_cell_length_a 7.613
_cell_length_b 13.039
_cell_length_c 8.519
_cell_angle_alpha 90.00
_cell_angle_beta 107.48
_cell_angle_gamma 90.00
loop_
_symmetry_equiv_pos_as_xyz
'x,y,z'
'-x,-y,-z'
'-x,y,-z'
'x,-y,z'
'x+1/2,y+1/2,z'
'-x+1/2,-y+1/2,-z'
'-x+1/2,y+1/2,-z'
'x+1/2,-y+1/2,z'
loop_
_atom_site_label
_atom_site_type_symbol
_atom_site_fract_x
_atom_site_fract_y
_atom_site_fract_z
Rb1 Rb 0.000 0.170 0.000
La1 La 0.000 0.334 0.500
U1 U 0.000 0.000 0.500
Se1 Se 0.224 0.159 0.693
Se2 Se 0.248 0.000 0.307
```

***

Rb4LaU3Se8: relaxed, PBE-GGA.

Structure (CIF):
```
data_Rb4LaU3Se8
_symmetry_space_group_name_H-M 'R -3 m'
_symmetry_Int_Tables_number 166
_symmetry_space_group_name_Hall '-R 3 2"'
_cell_length_a 8.6298
_cell_length_b 8.6298
_cell_length_c 24.1296
_cell_angle_alpha 90.00
_cell_angle_beta 90.00
_cell_angle_gamma 120.00
loop_
_atom_site_label
_atom_site_type_symbol
_atom_site_fract_x
_atom_site_fract_y
_atom_site_fract_z
Rb1 Rb 0.0000 0.0000 0.0000
Rb2 Rb 0.0000 0.5000 0.0000
La1 La 0.0000 0.0000 0.5000
U1 U 0.0000 0.5000 0.5000
Se1 Se 0.0000 0.0000 0.2319
Se2 Se 0.0090 0.5045 0.7666
```

***

Rb3La2YSe6: relaxed, PBE-GGA.

Structure (CIF):
```
data_Rb3La2YSe6
_symmetry_space_group_name_H-M 'C 1 2/m 1'
_symmetry_Int_Tables_number 12
_cell_length_a 7.613
_cell_length_b 13.186
_cell_length_c 8.395
_cell_angle_alpha 90.00
_cell_angle_beta 107.62
_cell_angle_gamma 90.00
loop_
_symmetry_equiv_pos_as_xyz
'x,y,z'
'-x,-y,-z'
'-x,y,-z'
'x,-y,z'
'x+1/2,y+1/2,z'
'-x+1/2,-y+1/2,-z'
'-x+1/2,y+1/2,-z'
'x+1/2,-y+1/2,z'
loop_
_atom_site_label
_atom_site_type_symbol
_atom_site_fract_x
_atom_site_fract_y
_atom_site_fract_z
Rb1 Rb 0.000 0.000 0.000
Rb2 Rb 0.000 0.332 0.000
La1 La 0.000 0.167 0.500
Y1 Y 0.000 0.500 0.500
Se1 Se 0.228 0.339 0.700
Se2 Se 0.244 0.000 0.700
```

***

Rb3LaY2Se6: relaxed, PBE-GGA.

Structure (CIF):
```
data_Rb3LaY2Se6
_symmetry_space_group_name_H-M 'C 1 2/m 1'
_symmetry_Int_Tables_number 12
_cell_length_a 7.482
_cell_length_b 12.960
_cell_length_c 8.382
_cell_angle_alpha 90.00
_cell_angle_beta 107.33
_cell_angle_gamma 90.00
loop_
_symmetry_equiv_pos_as_xyz
'x,y,z'
'-x,-y,-z'
'-x,y,-z'
'x,-y,z'
'x+1/2,y+1/2,z'
'-x+1/2,-y+1/2,-z'
'-x+1/2,y+1/2,-z'
'x+1/2,-y+1/2,z'
loop_
_atom_site_label
_atom_site_type_symbol
_atom_site_fract_x
_atom_site_fract_y
_atom_site_fract_z
Rb1 Rb 0.000 0.000 0.000
Rb2 Rb 0.000 0.335 0.000
La1 La 0.000 0.500 0.500
Y1 Y 0.000 0.167 0.500
Se1 Se 0.222 0.000 0.697
Se2 Se 0.238 0.328 0.698
```

***

Rb4LaY3Se8: relaxed, PBE-GGA.

Structure (CIF):
```
data_Rb4LaY3Se8
_symmetry_space_group_name_H-M 'R -3 m'
_symmetry_Int_Tables_number 166
_symmetry_space_group_name_Hall '-R 3 2"'
_cell_length_a 8.6043
_cell_length_b 8.6043
_cell_length_c 23.9959
_cell_angle_alpha 90.00
_cell_angle_beta 90.00
_cell_angle_gamma 120.00
loop_
_atom_site_label
_atom_site_type_symbol
_atom_site_fract_x
_atom_site_fract_y
_atom_site_fract_z
Rb1 Rb 0.0000 0.0000 0.0000
Rb2 Rb 0.0000 0.5000 0.0000
La1 La 0.0000 0.0000 0.5000
Y1 Y 0.0000 0.5000 0.5000
Se1 Se 0.0000 0.0000 0.2317
Se2 Se 0.0099 0.5050 0.7673
```

***

RbLa2YSe: relaxed, PBE-GGA.

Structure (CIF):
```
data_RbLa2YSe
_symmetry_space_group_name_H-M 'P 4/m m m'
_symmetry_Int_Tables_number 123
_symmetry_space_group_name_Hall '-P 4 2'
_cell_length_a 5.797
_cell_length_b 5.797
_cell_length_c 6.027
_cell_angle_alpha 90.00
_cell_angle_beta 90.00
_cell_angle_gamma 90.00
loop_
_atom_site_label
_atom_site_type_symbol
_atom_site_fract_x
_atom_site_fract_y
_atom_site_fract_z
Rb1 Rb 0.000 0.000 0.000
La1 La 0.000 0.500 0.500
Y1 Y 0.000 0.000 0.500
Se1 Se 0.500 0.500 0.000
```

***

| no. | raw formation energy (eV/atom) | DFT total energy (eV/atom) | N(E_F) (states/eV per cell) |
| --- | --- | --- | --- |
| 1 | -1.12 | -4.02 | 10.20 |
| 2 | -1.48 | -4.53 | 19.12 |
| 3 | -1.76 | -4.92 | 0.00 |
| 4 | -1.70 | -5.04 | 31.68 |
| 5 | -1.65 | -5.26 | 19.40 |
| 6 | -1.37 | -6.01 | 54.00 |
| 7 | -1.63 | -5.63 | 14.52 |
| 8 | -1.35 | -5.75 | 59.68 |
| 9 | -1.79 | -5.13 | 0.00 |
| 10 | -1.77 | -5.24 | 0.00 |
| 11 | -1.76 | -5.26 | 0.00 |
| 12 | 0.61 | -3.55 | 5.18 |